Record 1
# GGA-PBE Pt, relaxed
data_Pt
_symmetry_space_group_name_H-M 'I m -3 m'
_symmetry_Int_Tables_number 229
_symmetry_space_group_name_Hall '-I 4 2 3'
_cell_length_a 7.906
_cell_length_b 7.906
_cell_length_c 7.906
_cell_angle_alpha 90.00
_cell_angle_beta 90.00
_cell_angle_gamma 90.00
loop_
_atom_site_label
_atom_site_type_symbol
_atom_site_fract_x
_atom_site_fract_y
_atom_site_fract_z
Pt1 Pt 0.160 0.160 0.160
# - energy relative to the elements (kJ per mole of atoms) = 104.96
# - offset from the most stable computed form (meV per atom) = 1088
# - uncorrected energy (eV/atom) = -4.953

=====

Record 2
# GGA-PBE TcHgPb2, relaxed
data_TcHgPb2
_symmetry_space_group_name_H-M 'I 4/m m m'
_symmetry_Int_Tables_number 139
_symmetry_space_group_name_Hall '-I 4 2'
_cell_length_a 4.618
_cell_length_b 4.618
_cell_length_c 8.955
_cell_angle_alpha 90.00
_cell_angle_beta 90.00
_cell_angle_gamma 90.00
loop_
_atom_site_label
_atom_site_type_symbol
_atom_site_fract_x
_atom_site_fract_y
_atom_site_fract_z
Tc1 Tc 0.000 0.000 0.000
Hg1 Hg 0.000 0.000 0.500
Pb1 Pb 0.000 0.500 0.250
# - energy relative to the elements (kJ per mole of atoms) = 62.93
# - uncorrected energy (eV/atom) = -3.869

=====

Record 3
# GGA-PBE ScNiH6Rh2, relaxed
data_ScNiH6Rh2
_symmetry_space_group_name_H-M 'P 1'
_symmetry_Int_Tables_number 1
_cell_length_a 4.611
_cell_length_b 4.613
_cell_length_c 5.013
_cell_angle_alpha 90.32
_cell_angle_beta 116.99
_cell_angle_gamma 119.98
loop_
_symmetry_equiv_pos_as_xyz
'x,y,z'
loop_
_atom_site_label
_atom_site_type_symbol
_atom_site_fract_x
_atom_site_fract_y
_atom_site_fract_z
Sc1 Sc 0.000 0.000 0.000
Ni1 Ni 0.870 0.436 0.306
H1 H 0.010 0.799 0.568
H2 H 0.027 0.528 0.048
H3 H 0.353 0.558 0.567
H4 H 0.519 0.496 0.043
H5 H 0.549 0.022 0.047
H6 H 0.768 0.214 0.568
Rh1 Rh 0.432 0.220 0.652
Rh2 Rh 0.552 0.777 0.329
# - uncorrected energy (eV/atom) = -4.990

=====

Record 4
# GGA-PBE Be3Fe, relaxed
data_Be3Fe
_symmetry_space_group_name_H-M 'F m -3 m'
_symmetry_Int_Tables_number 225
_symmetry_space_group_name_Hall '-F 4 2 3'
_cell_length_a 5.109
_cell_length_b 5.109
_cell_length_c 5.109
_cell_angle_alpha 90.00
_cell_angle_beta 90.00
_cell_angle_gamma 90.00
loop_
_atom_site_label
_atom_site_type_symbol
_atom_site_fract_x
_atom_site_fract_y
_atom_site_fract_z
Be1 Be 0.000 0.000 0.000
Be2 Be 0.250 0.250 0.250
Fe1 Fe 0.000 0.000 0.500
# - energy relative to the elements (kJ per mole of atoms) = -8.86
# - uncorrected energy (eV/atom) = -5.002

=====

Record 5
# GGA-PBE Y4Tl2Se, relaxed
data_Y4Tl2Se
_symmetry_space_group_name_H-M 'P 1 21/m 1'
_symmetry_Int_Tables_number 11
_cell_length_a 6.625
_cell_length_b 6.672
_cell_length_c 9.713
_cell_angle_alpha 90.00
_cell_angle_beta 108.79
_cell_angle_gamma 90.00
loop_
_symmetry_equiv_pos_as_xyz
'x,y,z'
'-x,-y,-z'
'-x,y+1/2,-z'
'x,-y+1/2,z'
loop_
_atom_site_label
_atom_site_type_symbol
_atom_site_fract_x
_atom_site_fract_y
_atom_site_fract_z
Y1 Y 0.149 0.250 0.079
Y2 Y 0.255 0.004 0.767
Y3 Y 0.297 0.750 0.359
Tl1 Tl 0.114 0.250 0.466
Tl2 Tl 0.347 0.750 0.051
Se1 Se 0.487 0.250 0.345
# - ΔE_f (raw) (meV/atom) = -608
# - uncorrected energy (eV/atom) = -5.476

=====

Record 6
# GGA-PBE HfI2N2, relaxed
data_HfI2N2
_symmetry_space_group_name_H-M 'P 4/m m m'
_symmetry_Int_Tables_number 123
_symmetry_space_group_name_Hall '-P 4 2'
_cell_length_a 4.167
_cell_length_b 4.167
_cell_length_c 6.246
_cell_angle_alpha 90.00
_cell_angle_beta 90.00
_cell_angle_gamma 90.00
loop_
_atom_site_label
_atom_site_type_symbol
_atom_site_fract_x
_atom_site_fract_y
_atom_site_fract_z
Hf1 Hf 0.000 0.000 0.000
I1 I 0.500 0.500 0.000
I2 I 0.500 0.500 0.500
N1 N 0.000 0.500 0.500
# - ΔE_f (raw) (meV/atom) = 2002
# - offset from the most stable computed form (meV per atom) = 1440
# - uncorrected energy (eV/atom) = -3.939

=====

Record 7
# GGA-PBE LaZn8GaAu2, relaxed
data_LaZn8GaAu2
_symmetry_space_group_name_H-M 'C 1 2/m 1'
_symmetry_Int_Tables_number 12
_cell_length_a 8.294
_cell_length_b 5.281
_cell_length_c 10.036
_cell_angle_alpha 90.00
_cell_angle_beta 94.82
_cell_angle_gamma 90.00
loop_
_symmetry_equiv_pos_as_xyz
'x,y,z'
'-x,-y,-z'
'-x,y,-z'
'x,-y,z'
'x+1/2,y+1/2,z'
'-x+1/2,-y+1/2,-z'
'-x+1/2,y+1/2,-z'
'x+1/2,-y+1/2,z'
loop_
_atom_site_label
_atom_site_type_symbol
_atom_site_fract_x
_atom_site_fract_y
_atom_site_fract_z
La1 La 0.000 0.000 0.000
Zn1 Zn 0.103 0.252 0.306
Zn2 Zn 0.157 0.500 0.546
Zn3 Zn 0.166 0.500 0.099
Ga1 Ga 0.000 0.000 0.500
Au1 Au 0.161 0.500 0.828
# - energy relative to the elements (kJ per mole of atoms) = -16.54
# - uncorrected energy (eV/atom) = -2.230

=====

The lowest uncorrected energy belongs to which entry?
Y4Tl2Se